Entry 1:
DFT (meta-GGA SCAN) results for Cs2KNiF6 at its PBEsol-relaxed geometry.

The structure in extended XYZ format:
```
10
Lattice="0.000 4.425 4.425 4.425 0.000 4.425 4.425 4.425 0.000" Properties=species:S:1:pos:R:3 pbc="T T T"
Cs 2.212 2.212 2.212
Cs 6.637 6.637 6.637
K 0.000 0.000 0.000
Ni 4.425 4.425 4.425
F 4.425 4.425 2.541
F 4.425 2.541 4.425
F 6.308 4.425 4.425
F 2.541 4.425 4.425
F 4.425 6.308 4.425
F 4.425 4.425 6.308
```

Output
Raw formation energy in meV per atom: -2674.8
SG: Fm-3m (225)

---

Entry 2:
DFT (meta-GGA SCAN) results for ZrScPt2 at its PBEsol-relaxed geometry.

The structure in extended XYZ format:
```
4
Lattice="4.631 0.000 0.000 0.000 4.631 0.000 0.000 0.000 3.313" Properties=species:S:1:pos:R:3 pbc="T T T"
Zr 0.000 0.000 0.000
Sc 2.316 2.316 0.000
Pt 0.000 2.316 1.657
Pt 2.316 0.000 1.657
```

Output
ΔH_f (0 K) in kJ/mol of formula units: -502
SG: P4/mmm (123)

---

Entry 3:
DFT (meta-GGA SCAN) results for KSc2Te at its PBEsol-relaxed geometry.

The structure in extended XYZ format:
```
4
Lattice="4.901 -1.828 0.000 4.901 1.828 0.000 -1.445 0.000 7.313" Properties=species:S:1:pos:R:3 pbc="T T T"
K 0.000 0.000 0.000
Sc 4.450 0.000 3.891
Sc 7.243 0.000 2.693
Te 1.636 0.000 4.858
```

Output
Raw formation energy in meV per atom: -235.9
SG: Cm (8)

---

no.,Fermi-level density of states (states/eV/f.u.),final energy (eV per atom)
1,6.3,-14.811
2,2.7,-47.630
3,3.0,-18.749